Below is a relaxed FePOF2 crystal, with properties calculated at the GGA+U level.

abc: 3.9191 3.9191 4.1963
angles: 90.00 90.00 90.00
With the nearest neighbours (Å) after each atom.
Atoms (fractional coordinates):
1 F 0.0000 0.5000 0.0000  2 Fe 1.96
2 F 0.5000 0.0000 0.0000  2 Fe 1.96
3 Fe 0.0000 0.0000 0.0000  4 F 1.96, 2 O 2.10
4 P 0.5000 0.5000 0.5000  4 O 2.77, 8 F 2.87
5 O 0.0000 0.0000 0.5000  2 Fe 2.10

Calculated values
total magnetic moment	6.37	μB per cell
E above lowest polymorph	0	meV/atom
Fermi-level density of states	0.45	states/eV per atom
E	-4.7481	eV/atom